(1)
Computed, not measured: crystalline KOsCl2 at its relaxed geometry at the PBE level of DFT.

It has space group I-42d (No. 122), with a = 5.778 Å, b = 5.778 Å, c = 13.392 Å, α = 90.00°, β = 90.00° and γ = 90.00°. Symmetry generates all atoms from K at (0.000, 0.000, 0.000), Os at (0.000, 0.000, 0.500) and Cl at (0.138, 0.250, 0.625).

The total energy is -3.91 eV per atom. As for the formation energy (no corrections): 0.095 eV/atom. For the energy above the lowest structure with this stoichiometry, the calculation gives 5.360 kcal/mol of atoms. The density comes out at 4461 kg/m3.



(2)
Computed, not measured: crystalline Hg5Pd4Au at its relaxed geometry at the PBE level of DFT.

It has space group P4/mmm (No. 123), with a = 3.099 Å, b = 3.099 Å, c = 19.279 Å, α = 90.00°, β = 90.00° and γ = 90.00°. Symmetry generates all atoms from Hg at (0.000, 0.000, 0.000), Hg at (0.000, 0.000, 0.195), Hg at (0.000, 0.000, 0.391), Pd at (0.500, 0.500, 0.098), Pd at (0.500, 0.500, 0.293) and Au at (0.500, 0.500, 0.500).

As for the energy of formation: -1.04 eV/f.u. The total energy is -2.66 eV per atom. The density comes out at 14577 kg/m3.



(3)
Computed, not measured: crystalline AcMg2Zn at its relaxed geometry at the PBE level of DFT.

It has space group R-3m (No. 166, hexagonal axes), with a = 3.7357 Å, b = 3.7357 Å, c = 28.5098 Å, α = 90.00°, β = 90.00° and γ = 120.00°. Symmetry generates all atoms from Ac at (0.0000, 0.0000, 0.0000), Mg at (0.0000, 0.0000, 0.2293) and Zn at (0.0000, 0.0000, 0.5000).

As for the energy of formation: 0.48 eV/f.u. The total energy is -2.02 eV per atom. For the energy above the lowest structure with this stoichiometry, the calculation gives 6.683 kcal/mol of atoms. The density comes out at 4930 kg/m3.



(4)
Computed, not measured: crystalline AcTh3Fe at its relaxed geometry at the PBE level of DFT.

It has space group Pm-3m (No. 221), with a = 5.409 Å, b = 5.409 Å, c = 5.409 Å, α = 90.00°, β = 90.00° and γ = 90.00°. Symmetry generates all atoms from Ac at (0.000, 0.000, 0.000), Th at (0.000, 0.500, 0.500) and Fe at (0.500, 0.500, 0.500).

As for the energy of formation: 0.41 eV/f.u. The total energy is -6.88 eV per atom. The density comes out at 10275 kg/m3.



(5)
Computed, not measured: crystalline LaPu3Tc2 at its relaxed geometry at the PBE level of DFT.

It has space group C2/m (No. 12), with a = 9.337 Å, b = 9.788 Å, c = 6.119 Å, α = 90.00°, β = 90.50° and γ = 90.00°. Symmetry generates all atoms from La at (0.090, 0.000, 0.251), Pu at (0.076, 0.500, 0.751), Pu at (0.239, 0.167, 0.750), Tc at (0.000, 0.285, 0.500) and Tc at (0.000, 0.286, 0.000).

As for the energy of formation: 0.51 eV/f.u. The total energy is -11.36 eV per atom. The density comes out at 12674 kg/m3.



(6)
Computed, not measured: crystalline Ba2InAgSe4 at its relaxed geometry at the PBE level of DFT.

It has space group Imma (No. 74), with a = 8.791 Å, b = 9.061 Å, c = 11.990 Å, α = 90.00°, β = 90.00° and γ = 90.00°. Symmetry generates all atoms from Ba at (0.000, 0.000, 0.000), Ba at (0.250, 0.250, 0.250), In at (0.250, 0.250, 0.750), Ag at (0.000, 0.000, 0.500), Se at (0.000, 0.024, 0.733) and Se at (0.235, 0.250, 0.523).

The total energy is -3.98 eV per atom. As for the formation energy (no corrections): -1.062 eV/atom. The density comes out at 5656 kg/m3.



(7)
Computed, not measured: crystalline ZrCdIn2 at its relaxed geometry at the PBE level of DFT.

It has space group P2/m (No. 10), with a = 3.170 Å, b = 4.713 Å, c = 6.203 Å, α = 90.00°, β = 90.11° and γ = 90.00°. Symmetry generates all atoms from Zr at (0.000, 0.000, 0.000), Cd at (0.500, 0.000, 0.500) and In at (0.497, 0.500, 0.765).

As for the energy of formation: -0.37 eV/f.u. The total energy is -3.83 eV per atom. The density comes out at 7763 kg/m3.



(8)
Computed, not measured: crystalline Nb2CuNiH at its relaxed geometry at the PBE level of DFT.

It has space group P4/mmm (No. 123), with a = 4.010 Å, b = 4.010 Å, c = 3.853 Å, α = 90.00°, β = 90.00° and γ = 90.00°. Symmetry generates all atoms from Nb at (0.000, 0.500, 0.000), Cu at (0.000, 0.000, 0.500), Ni at (0.500, 0.500, 0.500) and H at (0.000, 0.000, 0.000).

The total energy is -6.72 eV per atom. For the energy above the lowest structure with this stoichiometry, the calculation gives 0.688 kcal/mol of atoms. The density comes out at 8286 kg/m3.



(9)
Computed, not measured: crystalline AlCuOs2 at its relaxed geometry at the PBE level of DFT.

It has space group Cmm2 (No. 35), with a = 2.811 Å, b = 4.626 Å, c = 8.731 Å, α = 90.00°, β = 90.00° and γ = 90.00°. Symmetry generates all atoms from Al at (0.000, 0.000, 0.000), Cu at (0.000, 0.500, 0.764), Os at (0.000, 0.000, 0.504) and Os at (0.000, 0.500, 0.246).

As for the energy of formation: 1.18 eV/f.u. The total energy is -7.28 eV per atom. The density comes out at 13776 kg/m3.



(10)
Computed, not measured: crystalline AcTb2Sm5Y at its relaxed geometry at the PBE level of DFT.

It has space group Cmc2_1 (No. 36), with a = 5.576 Å, b = 24.227 Å, c = 9.481 Å, α = 90.00°, β = 90.00° and γ = 90.00°. Symmetry generates all atoms from Ac at (0.000, 0.102, 0.000), Tb at (0.000, 0.328, 0.750), Tb at (0.000, 0.388, 0.144), Sm at (0.000, 0.024, 0.676), Sm at (0.000, 0.105, 0.396), Sm at (0.000, 0.190, 0.703), Sm at (0.000, 0.242, 0.064), Sm at (0.000, 0.491, 0.898) and Y at (0.000, 0.262, 0.391).

As for the energy of formation: 1.32 eV/f.u. The total energy is -4.68 eV per atom. The density comes out at 7186 kg/m3.



(11)
Computed, not measured: crystalline CsSrAuCl2 at its relaxed geometry at the PBE level of DFT.

It has space group P4/mmm (No. 123), with a = 5.701 Å, b = 5.701 Å, c = 6.156 Å, α = 90.00°, β = 90.00° and γ = 90.00°. Symmetry generates all atoms from Cs at (0.000, 0.000, 0.000), Sr at (0.500, 0.500, 0.500), Au at (0.500, 0.500, 0.000) and Cl at (0.000, 0.500, 0.500).

The total energy is -3.50 eV per atom. As for the formation energy (no corrections): -1.596 eV/atom. The density comes out at 4054 kg/m3.



(12)
Computed, not measured: crystalline Zr2NbRu3 at its relaxed geometry at the PBE level of DFT.

It has space group Cmmm (No. 65), with a = 4.608 Å, b = 13.787 Å, c = 3.223 Å, α = 90.00°, β = 90.00° and γ = 90.00°. Symmetry generates all atoms from Zr at (0.000, 0.165, 0.000), Nb at (0.000, 0.500, 0.000), Ru at (0.000, 0.000, 0.500) and Ru at (0.000, 0.337, 0.500).

As for the energy of formation: -2.91 eV/f.u. The total energy is -9.65 eV per atom. The density comes out at 9386 kg/m3.



(13)
Computed, not measured: crystalline Ba2AcTiO6 at its relaxed geometry at the PBE level of DFT.

It has space group P4/mmm (No. 123), with a = 4.392 Å, b = 4.392 Å, c = 8.886 Å, α = 90.00°, β = 90.00° and γ = 90.00°. Symmetry generates all atoms from Ba at (0.000, 0.000, 0.209), Ac at (0.500, 0.500, 0.500), Ti at (0.500, 0.500, 0.000), O at (0.000, 0.500, 0.000), O at (0.000, 0.500, 0.500) and O at (0.500, 0.500, 0.213).

The total energy is -7.24 eV per atom. As for the formation energy (no corrections): -2.680 eV/atom. The density comes out at 6253 kg/m3.



(14)
Computed, not measured: crystalline TbThScNb at its relaxed geometry at the PBE level of DFT.

It has space group F-43m (No. 216), with a = 7.419 Å, b = 7.419 Å, c = 7.419 Å, α = 90.00°, β = 90.00° and γ = 90.00°. Symmetry generates all atoms from Tb at (0.000, 0.000, 0.000), Th at (0.000, 0.000, 0.500), Sc at (0.250, 0.250, 0.750) and Nb at (0.250, 0.250, 0.250).

As for the energy of formation: 0.78 eV/f.u. The total energy is -6.92 eV per atom. The density comes out at 8603 kg/m3.



(15)
Computed, not measured: crystalline BaScW2 at its relaxed geometry at the PBE level of DFT.

It has space group P4/mmm (No. 123), with a = 2.879 Å, b = 2.879 Å, c = 10.613 Å, α = 90.00°, β = 90.00° and γ = 90.00°. Symmetry generates all atoms from Ba at (0.000, 0.000, 0.000), Sc at (0.000, 0.000, 0.500) and W at (0.500, 0.500, 0.285).

As for the energy of formation: 4.01 eV/f.u. The total energy is -7.54 eV per atom. For the energy above the lowest structure with this stoichiometry, the calculation gives 11.348 kcal/mol of atoms. The density comes out at 10383 kg/m3.



(16)
Computed, not measured: crystalline KSc3Co at its relaxed geometry at the PBE level of DFT.

It has space group Pm-3m (No. 221), with a = 5.061 Å, b = 5.061 Å, c = 5.061 Å, α = 90.00°, β = 90.00° and γ = 90.00°. Symmetry generates all atoms from K at (0.000, 0.000, 0.000), Sc at (0.000, 0.500, 0.500) and Co at (0.500, 0.500, 0.500).

As for the energy of formation: 0.93 eV/f.u. The total energy is -5.25 eV per atom. For the energy above the lowest structure with this stoichiometry, the calculation gives 0.000 kcal/mol of atoms. The density comes out at 2984 kg/m3.



(17)
Computed, not measured: crystalline AgPdAu2 at its relaxed geometry at the PBE level of DFT.

It has space group F-43m (No. 216), with a = 6.525 Å, b = 6.525 Å, c = 6.525 Å, α = 90.00°, β = 90.00° and γ = 90.00°. Symmetry generates all atoms from Ag at (0.000, 0.000, 0.000), Pd at (0.250, 0.250, 0.250), Au at (0.000, 0.000, 0.500) and Au at (0.250, 0.250, 0.750).

As for the energy of formation: -0.16 eV/f.u. The total energy is -3.69 eV per atom. For the energy above the lowest structure with this stoichiometry, the calculation gives 1.182 kcal/mol of atoms. The density comes out at 14545 kg/m3.



(18)
Computed, not measured: crystalline Nd2BiAs3Pd4 at its relaxed geometry at the PBE level of DFT.

It has space group P-4m2 (No. 115), with a = 4.312 Å, b = 4.312 Å, c = 11.236 Å, α = 90.00°, β = 90.00° and γ = 90.00°. Symmetry generates all atoms from Nd at (0.000, 0.500, 0.220), Bi at (0.000, 0.000, 0.500), As at (0.000, 0.500, 0.872), As at (0.500, 0.500, 0.500), Pd at (0.000, 0.000, 0.000), Pd at (0.000, 0.500, 0.654) and Pd at (0.500, 0.500, 0.000).

As for the energy of formation: -7.85 eV/f.u. The total energy is -5.60 eV per atom. The density comes out at 9124 kg/m3.



(19)
Computed, not measured: crystalline TbNbIr4 at its relaxed geometry at the PBE level of DFT.

It has space group F-43m (No. 216), with a = 7.455 Å, b = 7.455 Å, c = 7.455 Å, α = 90.00°, β = 90.00° and γ = 90.00°. Symmetry generates all atoms from Tb at (0.000, 0.000, 0.000), Nb at (0.250, 0.250, 0.250) and Ir at (0.125, 0.125, 0.625).

As for the energy of formation: -2.60 eV/f.u. The total energy is -8.79 eV per atom. The density comes out at 16364 kg/m3.



(20)
Computed, not measured: crystalline Sr3Tb2PmSe6 at its relaxed geometry at the PBE level of DFT.

It has space group C2/m (No. 12), with a = 7.339 Å, b = 12.696 Å, c = 7.501 Å, α = 90.00°, β = 109.06° and γ = 90.00°. Symmetry generates all atoms from Sr at (0.000, 0.000, 0.000), Sr at (0.000, 0.335, 0.000), Tb at (0.000, 0.167, 0.500), Pm at (0.000, 0.500, 0.500), Se at (0.239, 0.000, 0.733) and Se at (0.248, 0.331, 0.734).

The total energy is -5.23 eV per atom. As for the formation energy (no corrections): -1.900 eV/atom. The density comes out at 6031 kg/m3.



(21)
Computed, not measured: crystalline ErBeGa2 at its relaxed geometry at the PBE level of DFT.

It has space group R-3m (No. 166, hexagonal axes), with a = 3.2943 Å, b = 3.2943 Å, c = 24.3243 Å, α = 90.00°, β = 90.00° and γ = 120.00°. Symmetry generates all atoms from Er at (0.0000, 0.0000, 0.0000), Be at (0.0000, 0.0000, 0.5000) and Ga at (0.0000, 0.0000, 0.2331).

As for the energy of formation: 0.58 eV/f.u. The total energy is -3.44 eV per atom. The density comes out at 6880 kg/m3.



(22)
Computed, not measured: crystalline CuSi2Tc2 at its relaxed geometry at the PBE level of DFT.

It has space group P4/mbm (No. 127), with a = 6.576 Å, b = 6.576 Å, c = 3.118 Å, α = 90.00°, β = 90.00° and γ = 90.00°. Symmetry generates all atoms from Cu at (0.000, 0.000, 0.000), Si at (0.138, 0.362, 0.000) and Tc at (0.158, 0.658, 0.500).

The total energy is -7.40 eV per atom. As for the formation energy (no corrections): -0.266 eV/atom. For the energy above the lowest structure with this stoichiometry, the calculation gives 0.000 kcal/mol of atoms. The density comes out at 7775 kg/m3.



(23)
Computed, not measured: crystalline KNb3Cu4O12 at its relaxed geometry at the PBE level of DFT.

It has space group R32 (No. 155, hexagonal axes), with a = 11.1942 Å, b = 11.1942 Å, c = 7.7405 Å, α = 90.00°, β = 90.00° and γ = 120.00°. Symmetry generates all atoms from K at (0.0000, 0.0000, 0.0000), Nb at (0.0000, 0.5548, 0.0000), Cu at (0.0000, 0.0000, 0.5000), Cu at (0.0000, 0.4423, 0.5000), O at (0.0000, 0.6065, 0.5000), O at (0.0000, 0.8309, 0.5000) and O at (0.0598, 0.2317, 0.1990).

The total energy is -6.97 eV per atom. As for the formation energy (no corrections): -1.606 eV/atom. The density comes out at 4531 kg/m3.



(24)
Computed, not measured: crystalline BaCdB12 at its relaxed geometry at the PBE level of DFT.

It has space group Fm-3m (No. 225), with a = 8.441 Å, b = 8.441 Å, c = 8.441 Å, α = 90.00°, β = 90.00° and γ = 90.00°. Symmetry generates all atoms from Ba at (0.000, 0.000, 0.000), Cd at (0.000, 0.000, 0.500) and B at (0.102, 0.250, 0.250).

As for the energy of formation: -0.96 eV/f.u. The total energy is -6.00 eV per atom. The density comes out at 4190 kg/m3.